The following is a DFT calculation (GGA-PBE) of crystalline Tc2AsPb at its relaxed geometry.

The structure in POSCAR format:
```
Tc2AsPb
1.0
0.000 3.226 3.226
3.226 0.000 3.226
3.226 3.226 0.000
Tc As Pb
2 1 1
Cartesian
1.613 1.613 1.613 Tc
4.839 4.839 4.839 Tc
0.000 0.000 0.000 As
3.226 3.226 3.226 Pb
```

* density: 11.82 Mg/m³
* energy relative to the elements: 477.0 meV/atom
* space group: Fm-3m, No. 225
* D(E_F): 3.39 states/eV/cell
* size of the total moment: 0.000 μB per formula unit